#A
LaTc2Sn2 after structural relaxation. Source: Alexandria via LeMat-Bulk, functional GGA-PBE.

Cell lengths 6.7293, 6.7293, 6.7293 Å; angles 141.89, 141.89, 55.00 degrees
Closest atoms and distances in Å follow each position.
Atoms (fractional coordinates):
La 0.0000 0.0000 0.0000  8 Sn 3.43, 8 Tc 3.71
Tc 0.2500 0.7500 0.5000  4 Sn 2.68
Tc 0.7500 0.2500 0.5000  4 Sn 2.68
Sn 0.3789 0.3789 0.0000  4 Tc 2.68, 1 Sn 2.89
Sn 0.6211 0.6211 0.0000  4 Tc 2.68, 1 Sn 2.89

Results
- Total magnetization: 0.51 μB/atom
- Calculated volume: 115.3 Å³ per cell

***

#B
LaTc2Sn2 after structural relaxation. Source: Alexandria via LeMat-Bulk, functional GGA-PBE.

Cell lengths 6.0666, 6.0666, 6.0666 Å; angles 133.59, 133.59, 67.73 degrees
Closest atoms and distances in Å follow each position.
Atoms (fractional coordinates):
La 0.0000 0.0000 0.0000  8 Sn 3.47, 8 Tc 3.56
Tc 0.3892 0.3892 0.0000  1 Tc 2.23
Tc 0.6108 0.6108 0.0000  1 Tc 2.23
Sn 0.2500 0.7500 0.5000  4 Tc 2.77
Sn 0.7500 0.2500 0.5000  4 Tc 2.77

Results
- Total magnetization: 0.00 μB/atom
- Calculated volume: 115.1 Å³ per cell

***

#C
LaTc2Sn2 after structural relaxation. Source: Alexandria via LeMat-Bulk, functional GGA-PBE.

Cell lengths 7.8669, 7.8669, 3.3160 Å; angles 90.00, 90.00, 90.00 degrees
Closest atoms and distances in Å follow each position.
Atoms (fractional coordinates):
La 0.0000 0.0000 0.0000  4 Tc 3.03, 2 La 3.32
La 0.5000 0.5000 0.0000  4 Tc 3.03, 2 La 3.32
Tc 0.1422 0.3578 0.0000  6 Sn 2.83-2.85, 2 La 3.03, 1 Tc 3.16
Tc 0.3578 0.8578 0.0000  6 Sn 2.83-2.85, 2 La 3.03, 1 Tc 3.16
Tc 0.6422 0.1422 0.0000  6 Sn 2.83-2.85, 2 La 3.03, 1 Tc 3.16
Tc 0.8578 0.6422 0.0000  6 Sn 2.83-2.85, 2 La 3.03, 1 Tc 3.16
Sn 0.1498 0.6498 0.5000  6 Tc 2.83-2.85
Sn 0.3502 0.1498 0.5000  6 Tc 2.83-2.85
Sn 0.6498 0.8502 0.5000  6 Tc 2.83-2.85
Sn 0.8502 0.3502 0.5000  6 Tc 2.83-2.85

Results
- Total magnetization: 0.00 μB/atom
- Calculated volume: 205.2 Å³ per cell

***

According to the calculations, the structures order from most to least stable as #B, #A, #C.

***

#A
La2Tc2Sn after structural relaxation. Source: Alexandria via LeMat-Bulk, functional GGA-PBE.

Cell lengths 10.2186, 10.2186, 10.2186 Å; angles 159.72, 159.72, 28.83 degrees
Closest atoms and distances in Å follow each position.
Atoms (fractional coordinates):
La 0.1168 0.1168 0.0000  4 Tc 3.19, 4 Sn 3.44
La 0.8832 0.8832 0.0000  4 Tc 3.19, 4 Sn 3.44
Tc 0.2500 0.7500 0.5000  4 Tc 2.54
Tc 0.7500 0.2500 0.5000  4 Tc 2.54
Sn 0.5000 0.5000 0.0000  8 La 3.44, 4 Sn 3.60

Results
- Total magnetization: 0.00 μB/atom
- Calculated volume: 128.1 Å³ per cell

***

#B
La2Tc2Sn after structural relaxation. Source: Alexandria via LeMat-Bulk, functional GGA-PBE.

Cell lengths 7.1809, 7.1809, 4.7390 Å; angles 90.00, 90.00, 90.00 degrees
Closest atoms and distances in Å follow each position.
Atoms (fractional coordinates):
La 0.1819 0.3181 0.0000  6 Tc 3.16-3.21
La 0.3181 0.8181 0.0000  6 Tc 3.16-3.21
La 0.6819 0.1819 0.0000  6 Tc 3.16-3.21
La 0.8181 0.6819 0.0000  6 Tc 3.16-3.21
Tc 0.1122 0.6122 0.5000  1 Tc 2.28
Tc 0.3878 0.1122 0.5000  1 Tc 2.28
Tc 0.6122 0.8878 0.5000  1 Tc 2.28
Tc 0.8878 0.3878 0.5000  1 Tc 2.28
Sn 0.0000 0.0000 0.5000  4 Tc 2.90
Sn 0.5000 0.5000 0.5000  4 Tc 2.90

Results
- Total magnetization: 0.00 μB/atom
- Calculated volume: 244.4 Å³ per cell

***

According to the calculations, the structures order from most to least stable as #B, #A.

***

#A
LaTcSn3 after structural relaxation. Source: Alexandria via LeMat-Bulk, functional GGA-PBE.

Cell lengths 5.7816, 5.7816, 5.7816 Å; angles 90.00, 90.00, 90.00 degrees
Closest atoms and distances in Å follow each position.
Atoms (fractional coordinates):
La 0.0000 0.0000 0.0000  6 Sn 2.89
Tc 0.5000 0.5000 0.5000  12 Sn 4.09
Sn 0.0000 0.0000 0.5000  2 La 2.89
Sn 0.0000 0.5000 0.0000  2 La 2.89
Sn 0.5000 0.0000 0.0000  2 La 2.89

Results
- Total magnetization: 0.00 μB/atom
- Calculated volume: 193.3 Å³ per cell

***

#B
LaTcSn3 after structural relaxation. Source: Alexandria via LeMat-Bulk, functional GGA-PBE.

Cell lengths 5.1818, 5.1818, 5.1818 Å; angles 90.00, 90.00, 90.00 degrees
Closest atoms and distances in Å follow each position.
Atoms (fractional coordinates):
La 0.0000 0.0000 0.0000  12 Sn 3.66
Tc 0.5000 0.5000 0.5000  6 Sn 2.59
Sn 0.0000 0.5000 0.5000  2 Tc 2.59
Sn 0.5000 0.0000 0.5000  2 Tc 2.59
Sn 0.5000 0.5000 0.0000  2 Tc 2.59

Results
- Total magnetization: 0.00 μB/atom
- Calculated volume: 139.1 Å³ per cell

***

According to the calculations, the structures order from most to least stable as #B, #A.